Entry from the Alexandria database: a relaxed structure of LiTl5Sb4 (PBE).

Results
The density of states at the Fermi level comes out at 8.25 states/eV/cell. As for the total DFT energy (no corrections): -3.06 eV/atom. The mass density comes out at 8.08 Mg/m³.

abc: 17.709 4.248 9.102
angles: 90.00 114.50 90.00
Space group C2/m (No. 12)
Inequivalent atoms, fractional coordinates:
Li  0.000  0.000  0.000
Tl  0.000  0.000  0.500
Tl  0.159  0.500  0.238
Tl  0.171  0.500  0.636
Sb  0.034  0.500  0.801
Sb  0.167  0.000  0.954